(1)
Material: CdAsCl2
Method: DFT, PBE-GGA
State: relaxed

The structure in CIF format:
```
data_CdAsCl2
_space_group_name_H-M_alt 'C m m m'
_space_group_IT_number 65
_space_group_name_Hall '-C 2 2'
_cell_length_a 3.394
_cell_length_b 6.088
_cell_length_c 9.755
_cell_angle_alpha 90.00
_cell_angle_beta 90.00
_cell_angle_gamma 90.00
loop_
_atom_site_label
_atom_site_fract_x
_atom_site_fract_y
_atom_site_fract_z
Cd1 0.000 0.000 0.000
As1 0.000 0.000 0.500
Cl1 0.000 0.500 0.306
```

Properties
Uncorrected formation energy in eV per atom: -0.124
Total magnetic moment in μB/f.u.: 0.00
Excess energy over the best structure of this formula in the dataset in meV per atom: 278.9
V in Å³/atom: 25.19
Uncorrected energy in eV/atom: -2.438

***

(2)
Material: NbAsPS2
Method: DFT, PBE-GGA
State: relaxed

The structure in CIF format:
```
data_NbAsPS2
_space_group_name_H-M_alt 'P 4/m m m'
_space_group_IT_number 123
_space_group_name_Hall '-P 4 2'
_cell_length_a 4.583
_cell_length_b 4.583
_cell_length_c 4.628
_cell_angle_alpha 90.00
_cell_angle_beta 90.00
_cell_angle_gamma 90.00
loop_
_atom_site_label
_atom_site_fract_x
_atom_site_fract_y
_atom_site_fract_z
Nb1 0.000 0.000 0.000
As1 0.500 0.500 0.500
P1 0.500 0.500 0.000
S1 0.000 0.500 0.500
```

Properties
Uncorrected formation energy in eV per atom: 0.848
Total magnetic moment in μB/f.u.: 0.00
Excess energy over the best structure of this formula in the dataset in meV per atom: 536.8
V in Å³/atom: 19.44
Uncorrected energy in eV/atom: -4.828